(1)
Material: RbNbW3
Method: DFT, PBE
State: relaxed

Output
Total energy: -37.63 eV for the cell shown
ΔH_f (0 K): 2.453 eV per atom
Magnetic moment: 0.0 μB/cell

```
RbNbW3
1.0
-4.700 -1.344 -0.889
0.717 -4.199 2.558
-1.444 2.292 4.166
Nb Rb W
1 1 3
direct
0.000 0.000 0.000
0.500 0.500 0.500
0.000 0.500 0.000
0.000 0.000 0.500
0.500 0.000 0.000
```

(2)
Material: GePdO4
Method: DFT, PBE
State: relaxed

Output
Total energy: -35.22 eV for the cell shown
Magnetic moment: 0.0 μB/cell

```
GePdO4
1.0
-2.736 0.824 -0.869
0.810 -4.807 -1.976
-1.888 -1.336 4.676
Ge Pd O
1 1 4
direct
0.500 0.000 0.000
0.000 0.000 0.500
0.099 0.198 0.874
0.901 0.802 0.126
0.600 0.199 0.351
0.400 0.801 0.649
```

(3)
Material: Ca4Th3NbN8
Method: DFT, PBE
State: relaxed

Output
Total energy: -127.57 eV for the cell shown
Magnetic moment: 0.0 μB/cell

```
Ca4Th3NbN8
1.0
-4.783 -0.677 5.211
5.090 -2.115 4.398
0.611 6.163 -3.483
Ca Th Nb N
4 3 1 8
direct
0.500 0.000 0.000
0.500 0.000 0.500
0.000 0.000 0.000
0.000 0.000 0.500
0.500 0.500 0.000
0.500 0.500 0.500
0.000 0.500 0.500
0.000 0.500 0.000
0.226 0.717 0.990
0.227 0.717 0.453
0.257 0.270 0.514
0.764 0.717 0.990
0.236 0.283 0.010
0.743 0.730 0.486
0.773 0.283 0.547
0.774 0.283 0.010
```

(4)
Material: SnHg2ClO
Method: DFT, PBE
State: relaxed

Output
Total energy: -12.95 eV for the cell shown
Magnetic moment: 0.0 μB/cell

```
SnHg2ClO
1.0
-0.403 -4.408 -3.656
3.693 0.869 -1.455
2.361 -3.467 3.920
Cl Hg O Sn
1 2 1 1
direct
0.500 0.500 0.500
0.000 0.000 0.500
0.500 0.000 0.000
0.000 0.500 0.000
0.000 0.000 0.000
```

Q: Number 1 is which compound?
A: RbNbW3

Q: What is the formula in the fourth record?
A: SnHg2ClO

Repeat the first record exactly.
Material: RbNbW3
Method: DFT, PBE
State: relaxed

Output
Total energy: -37.63 eV for the cell shown
ΔH_f (0 K): 2.453 eV per atom
Magnetic moment: 0.0 μB/cell

```
RbNbW3
1.0
-4.700 -1.344 -0.889
0.717 -4.199 2.558
-1.444 2.292 4.166
Nb Rb W
1 1 3
direct
0.000 0.000 0.000
0.500 0.500 0.500
0.000 0.500 0.000
0.000 0.000 0.500
0.500 0.000 0.000
```